# 1
Material: YV2Cd
Method: DFT, PBE
State: optimized geometry

Polymorph energy (0 for the lowest one) = 0.3126 eV/atom
Uncorrected energy = -44.5 eV per cell
D(E_F) = 1.357 states/eV per atom
Volume = 21.77 Å³/atom
ΔE_f = 81 kJ/mol of atoms

abc: 6.1932 6.1932 6.1932
angles: 102.82 102.82 123.80
Positions (direct):
Y (0.0000, 0.0000, 0.0000)
Y (0.7500, 0.2500, 0.5000)
V (0.1478, 0.6250, 0.0228)
V (0.3750, 0.3978, 0.5228)
V (0.6022, 0.1250, 0.9772)
V (0.8750, 0.8522, 0.4772)
Cd (0.2500, 0.7500, 0.5000)
Cd (0.5000, 0.5000, 0.0000)

=====

# 2
Material: YV3Cd
Method: DFT, PBE
State: optimized geometry

Polymorph energy (0 for the lowest one) = 0.4976 eV/atom
Uncorrected energy = -25.4 eV per cell
D(E_F) = 1.447 states/eV per atom
Volume = 21.80 Å³/atom
ΔE_f = 181 kJ/mol of atoms

abc: 4.7766 4.7766 4.7766
angles: 90.00 90.00 90.00
Positions (direct):
Y (0.0000, 0.0000, 0.0000)
V (0.0000, 0.0000, 0.5000)
V (0.0000, 0.5000, 0.0000)
V (0.5000, 0.0000, 0.0000)
Cd (0.5000, 0.5000, 0.5000)

=====

# 3
Material: YVCd2
Method: DFT, PBE
State: optimized geometry

Polymorph energy (0 for the lowest one) = 0.3527 eV/atom
Uncorrected energy = -31.4 eV per cell
D(E_F) = 0.803 states/eV per atom
Volume = 24.70 Å³/atom
ΔE_f = 41 kJ/mol of atoms

abc: 11.0265 11.0265 11.0265
angles: 157.41 157.41 32.16
Positions (direct):
Y (0.0000, 0.0000, 0.0000)
Y (0.7500, 0.2500, 0.5000)
V (0.2500, 0.7500, 0.5000)
V (0.5000, 0.5000, 0.0000)
Cd (0.1566, 0.6250, 0.0316)
Cd (0.3750, 0.4066, 0.5316)
Cd (0.5934, 0.1250, 0.9684)
Cd (0.8750, 0.8434, 0.4684)

=====

# 4
Material: YVCd3
Method: DFT, PBE
State: optimized geometry

Polymorph energy (0 for the lowest one) = 0.0000 eV/atom
Uncorrected energy = -15.9 eV per cell
D(E_F) = 0.578 states/eV per atom
Volume = 26.75 Å³/atom
ΔE_f = 46 kJ/mol of atoms

abc: 5.1143 5.1143 5.1143
angles: 90.00 90.00 90.00
Positions (direct):
Y (0.0000, 0.0000, 0.0000)
V (0.5000, 0.5000, 0.5000)
Cd (0.0000, 0.5000, 0.5000)
Cd (0.5000, 0.0000, 0.5000)
Cd (0.5000, 0.5000, 0.0000)

=====

# 5
Material: YV3Cd
Method: DFT, PBE
State: optimized geometry

Polymorph energy (0 for the lowest one) = 0.0000 eV/atom
Uncorrected energy = -27.8 eV per cell
D(E_F) = 2.124 states/eV per atom
Volume = 25.13 Å³/atom
ΔE_f = 133 kJ/mol of atoms

abc: 5.0086 5.0086 5.0086
angles: 90.00 90.00 90.00
Positions (direct):
Y (0.0000, 0.0000, 0.0000)
V (0.0000, 0.5000, 0.5000)
V (0.5000, 0.0000, 0.5000)
V (0.5000, 0.5000, 0.0000)
Cd (0.5000, 0.5000, 0.5000)

=====

# 6
Material: YV2Cd
Method: DFT, PBE
State: optimized geometry

Polymorph energy (0 for the lowest one) = 0.0000 eV/atom
Uncorrected energy = -23.5 eV per cell
D(E_F) = 1.442 states/eV per atom
Volume = 20.96 Å³/atom
ΔE_f = 51 kJ/mol of atoms

abc: 4.9128 4.9128 4.9128
angles: 60.00 60.00 60.00
Positions (direct):
Y (0.0000, 0.0000, 0.0000)
V (0.2500, 0.2500, 0.2500)
V (0.7500, 0.7500, 0.7500)
Cd (0.5000, 0.5000, 0.5000)

=====

# 7
Material: YZrV2Cd
Method: DFT, PBE
State: optimized geometry

Uncorrected energy = -26.5 eV per cell
D(E_F) = 1.273 states/eV per atom
Volume = 23.05 Å³/atom
ΔE_f = 148 kJ/mol of atoms

abc: 4.6307 4.6307 5.3751
angles: 90.00 90.00 90.00
Positions (direct):
Y (0.0000, 0.0000, 0.0000)
Zr (0.5000, 0.5000, 0.5000)
V (0.0000, 0.5000, 0.0000)
V (0.5000, 0.0000, 0.0000)
Cd (0.0000, 0.0000, 0.5000)

=====

# 8
Material: V2Zn2Cd
Method: DFT, PBE
State: optimized geometry

Polymorph energy (0 for the lowest one) = 0.0252 eV/atom
Uncorrected energy = -40.4 eV per cell
D(E_F) = 1.046 states/eV per atom
Volume = 15.50 Å³/atom
ΔE_f = 29 kJ/mol of atoms

abc: 7.1681 7.1681 3.0166
angles: 90.00 90.00 90.00
Positions (direct):
V (0.1742, 0.3258, 0.0000)
V (0.3258, 0.8258, 0.0000)
V (0.6742, 0.1742, 0.0000)
V (0.8258, 0.6742, 0.0000)
Zn (0.1226, 0.6226, 0.5000)
Zn (0.3774, 0.1226, 0.5000)
Zn (0.6226, 0.8774, 0.5000)
Zn (0.8774, 0.3774, 0.5000)
Cd (0.0000, 0.0000, 0.5000)
Cd (0.5000, 0.5000, 0.5000)

=====

# 9
Material: V2ZnCd
Method: DFT, PBE
State: optimized geometry

Polymorph energy (0 for the lowest one) = 0.2412 eV/atom
Uncorrected energy = -35.4 eV per cell
D(E_F) = 0.829 states/eV per atom
Volume = 16.59 Å³/atom
ΔE_f = 66 kJ/mol of atoms

abc: 5.7003 5.7003 5.7003
angles: 101.61 101.61 126.68
Positions (direct):
V (0.1105, 0.1250, 0.4855)
V (0.3750, 0.8895, 0.0145)
V (0.6395, 0.6250, 0.5145)
V (0.8750, 0.3605, 0.9855)
Zn (0.0000, 0.0000, 0.0000)
Zn (0.7500, 0.2500, 0.5000)
Cd (0.2500, 0.7500, 0.5000)
Cd (0.5000, 0.5000, 0.0000)

=====

# 10
Material: V2ZnCd
Method: DFT, PBE
State: optimized geometry

Polymorph energy (0 for the lowest one) = 0.0000 eV/atom
Uncorrected energy = -18.7 eV per cell
D(E_F) = 0.969 states/eV per atom
Volume = 15.64 Å³/atom
ΔE_f = 43 kJ/mol of atoms

abc: 4.4561 4.4561 4.4561
angles: 60.00 60.00 60.00
Positions (direct):
V (0.2500, 0.2500, 0.2500)
V (0.7500, 0.7500, 0.7500)
Zn (0.0000, 0.0000, 0.0000)
Cd (0.5000, 0.5000, 0.5000)

=====

# 11
Material: V2Zn2Cd
Method: DFT, PBE
State: optimized geometry

Polymorph energy (0 for the lowest one) = 0.0000 eV/atom
Uncorrected energy = -40.6 eV per cell
D(E_F) = 0.608 states/eV per atom
Volume = 16.42 Å³/atom
ΔE_f = 27 kJ/mol of atoms

abc: 7.3020 7.3020 3.0802
angles: 90.00 90.00 90.00
Positions (direct):
V (0.0945, 0.4055, 0.0000)
V (0.4055, 0.9055, 0.0000)
V (0.5945, 0.0945, 0.0000)
V (0.9055, 0.5945, 0.0000)
Zn (0.1992, 0.6992, 0.5000)
Zn (0.3008, 0.1992, 0.5000)
Zn (0.6992, 0.8008, 0.5000)
Zn (0.8008, 0.3008, 0.5000)
Cd (0.0000, 0.0000, 0.0000)
Cd (0.5000, 0.5000, 0.0000)

=====

# 12
Material: V2Zn2Cd
Method: DFT, PBE
State: optimized geometry

Polymorph energy (0 for the lowest one) = 0.0957 eV/atom
Uncorrected energy = -19.8 eV per cell
D(E_F) = 0.639 states/eV per atom
Volume = 16.55 Å³/atom
ΔE_f = 36 kJ/mol of atoms

abc: 7.3958 7.3958 7.3958
angles: 153.09 153.09 38.42
Positions (direct):
V (0.2500, 0.7500, 0.5000)
V (0.7500, 0.2500, 0.5000)
Zn (0.1000, 0.1000, 0.0000)
Zn (0.9000, 0.9000, 0.0000)
Cd (0.5000, 0.5000, 0.0000)

=====

# 13
Material: VZnCd2
Method: DFT, PBE
State: optimized geometry

Uncorrected energy = -10.2 eV per cell
D(E_F) = 0.718 states/eV per atom
Volume = 18.98 Å³/atom
ΔE_f = 49 kJ/mol of atoms

abc: 10.6764 10.6764 10.6764
angles: 15.52 15.52 15.52
Positions (direct):
V (0.0000, 0.0000, 0.0000)
Zn (0.5000, 0.5000, 0.5000)
Cd (0.0888, 0.0888, 0.0888)
Cd (0.9112, 0.9112, 0.9112)

=====

# 14
Material: VZnCd2
Method: DFT, PBE
State: optimized geometry

Uncorrected energy = -20.5 eV per cell
D(E_F) = 0.461 states/eV per atom
Volume = 20.44 Å³/atom
ΔE_f = 47 kJ/mol of atoms

abc: 6.0781 6.0781 6.0781
angles: 102.42 102.42 124.73
Positions (direct):
V (0.0000, 0.0000, 0.0000)
V (0.7500, 0.2500, 0.5000)
Zn (0.2500, 0.7500, 0.5000)
Zn (0.5000, 0.5000, 0.0000)
Cd (0.1445, 0.6250, 0.0195)
Cd (0.3750, 0.3945, 0.5195)
Cd (0.6055, 0.1250, 0.9805)
Cd (0.8750, 0.8555, 0.4805)

=====

# 15
Material: ZrVCd2
Method: DFT, PBE
State: optimized geometry

Polymorph energy (0 for the lowest one) = 0.3073 eV/atom
Uncorrected energy = -34.7 eV per cell
D(E_F) = 0.989 states/eV per atom
Volume = 21.03 Å³/atom
ΔE_f = 52 kJ/mol of atoms

abc: 6.1963 6.1963 6.1963
angles: 101.02 101.02 128.15
Positions (direct):
Zr (0.0000, 0.0000, 0.0000)
Zr (0.7500, 0.2500, 0.5000)
V (0.2500, 0.7500, 0.5000)
V (0.5000, 0.5000, 0.0000)
Cd (0.1548, 0.6250, 0.0298)
Cd (0.3750, 0.4048, 0.5298)
Cd (0.5952, 0.1250, 0.9702)
Cd (0.8750, 0.8452, 0.4702)

=====

# 16
Material: Zr2VCd
Method: DFT, PBE
State: optimized geometry

Uncorrected energy = -26.7 eV per cell
D(E_F) = 1.375 states/eV per atom
Volume = 20.22 Å³/atom
ΔE_f = 11 kJ/mol of atoms

abc: 4.4831 4.4831 4.0249
angles: 90.00 90.00 90.00
Positions (direct):
Zr (0.0000, 0.5000, 0.0000)
Zr (0.5000, 0.0000, 0.0000)
V (0.0000, 0.0000, 0.5000)
Cd (0.5000, 0.5000, 0.5000)

=====

# 17
Material: Zr2VCd
Method: DFT, PBE
State: optimized geometry

Uncorrected energy = -27.1 eV per cell
D(E_F) = 1.060 states/eV per atom
Volume = 20.49 Å³/atom
ΔE_f = 2 kJ/mol of atoms

abc: 3.2754 3.2754 7.6385
angles: 90.00 90.00 90.00
Positions (direct):
Zr (0.0000, 0.0000, 0.2198)
Zr (0.0000, 0.0000, 0.7802)
V (0.5000, 0.5000, 0.0000)
Cd (0.5000, 0.5000, 0.5000)

=====

# 18
Material: Zr2VCd
Method: DFT, PBE
State: optimized geometry

Uncorrected energy = -25.4 eV per cell
D(E_F) = 1.264 states/eV per atom
Volume = 20.70 Å³/atom
ΔE_f = 41 kJ/mol of atoms

abc: 11.0431 11.0431 11.0431
angles: 15.41 15.41 15.41
Positions (direct):
Zr (0.0833, 0.0833, 0.0833)
Zr (0.9167, 0.9167, 0.9167)
V (0.0000, 0.0000, 0.0000)
Cd (0.5000, 0.5000, 0.5000)

=====

# 19
Material: ZrVCd3
Method: DFT, PBE
State: optimized geometry

Polymorph energy (0 for the lowest one) = 0.0000 eV/atom
Uncorrected energy = -15.8 eV per cell
D(E_F) = 0.762 states/eV per atom
Volume = 25.53 Å³/atom
ΔE_f = 89 kJ/mol of atoms

abc: 5.0354 5.0354 5.0354
angles: 90.00 90.00 90.00
Positions (direct):
Zr (0.0000, 0.0000, 0.0000)
V (0.5000, 0.5000, 0.5000)
Cd (0.0000, 0.5000, 0.5000)
Cd (0.5000, 0.0000, 0.5000)
Cd (0.5000, 0.5000, 0.0000)

=====

# 20
Material: ZrVCd
Method: DFT, PBE
State: optimized geometry

Uncorrected energy = -36.3 eV per cell
D(E_F) = 0.797 states/eV per atom
Volume = 19.80 Å³/atom
ΔE_f = 14 kJ/mol of atoms

abc: 13.8520 13.8520 13.8520
angles: 13.10 13.10 13.10
Positions (direct):
Zr (0.0946, 0.0946, 0.0946)
Zr (0.9054, 0.9054, 0.9054)
V (0.1867, 0.1867, 0.1867)
V (0.8133, 0.8133, 0.8133)
Cd (0.3644, 0.3644, 0.3644)
Cd (0.6356, 0.6356, 0.6356)